Here is a geometry-optimized Tb5ZnRh4 structure from Alexandria. Energies are from GGA-PBE.

Properties
- N(E_F): 0.72 states/eV/atom

Cell: 3.477 3.477 17.307 Å, 90.00 90.00 90.00°
Fractional positions:
Tb: 0.000 0.000 0.000
Tb: 0.000 0.000 0.197
Tb: 0.000 0.000 0.391
Tb: 0.000 0.000 0.609
Tb: 0.000 0.000 0.803
Zn: 0.500 0.500 0.500
Rh: 0.500 0.500 0.099
Rh: 0.500 0.500 0.297
Rh: 0.500 0.500 0.703
Rh: 0.500 0.500 0.901

Here is a geometry-optimized Tb7Zn2Rh2 structure from Alexandria. Energies are from GGA-PBE.

Properties
- N(E_F): 0.96 states/eV/atom

Cell: 6.663 6.663 7.096 Å, 90.00 90.00 109.12°
Fractional positions:
Tb: 0.000 0.000 0.000
Tb: 0.000 0.500 0.261
Tb: 0.000 0.500 0.739
Tb: 0.500 0.000 0.261
Tb: 0.500 0.000 0.739
Tb: 0.500 0.500 0.255
Tb: 0.500 0.500 0.745
Zn: 0.168 0.168 0.500
Zn: 0.832 0.832 0.500
Rh: 0.293 0.707 0.000
Rh: 0.707 0.293 0.000

Here is a geometry-optimized Tb2Zn5Rh4 structure from Alexandria. Energies are from GGA-PBE.

Properties
- N(E_F): 0.91 states/eV/atom

Cell: 9.358 8.597 5.258 Å, 81.10 65.19 33.72°
Fractional positions:
Tb: 0.144 0.144 0.856
Tb: 0.856 0.856 0.144
Zn: 0.000 0.000 0.500
Zn: 0.250 0.250 0.250
Zn: 0.500 0.500 0.000
Zn: 0.500 0.500 0.500
Zn: 0.750 0.750 0.750
Rh: 0.213 0.532 0.468
Rh: 0.468 0.787 0.213
Rh: 0.532 0.213 0.787
Rh: 0.787 0.468 0.532

Here is a geometry-optimized TbZn2Rh structure from Alexandria. Energies are from GGA-PBE.

Properties
- N(E_F): 0.89 states/eV/atom

Cell: 4.286 4.286 14.322 Å, 90.00 90.00 120.00°
Fractional positions:
Tb: 0.000 0.000 0.000
Tb: 0.333 0.667 0.667
Tb: 0.667 0.333 0.333
Zn: 0.000 0.000 0.213
Zn: 0.000 0.000 0.787
Zn: 0.333 0.667 0.453
Zn: 0.333 0.667 0.880
Zn: 0.667 0.333 0.120
Zn: 0.667 0.333 0.547
Rh: 0.000 0.000 0.500
Rh: 0.333 0.667 0.167
Rh: 0.667 0.333 0.833

| no. | density (kg/m³) | energy relative to the elements (meV per atom) |
| --- | --- | --- |
| 1 | 10094 | -747 |
| 2 | 8085 | -325 |
| 3 | 8922 | -468 |
| 4 | 8584 | -416 |